Here is a relaxed Nb3SiB crystal from the Alexandria database. Energies are from PBE.

Cell and atoms, written as POSCAR:
```
Nb3SiB
1.0
4.3241 0.0000 0.0000
0.0000 4.3241 0.0000
0.0000 0.0000 4.3241
Nb Si B
3 1 1
direct
0.0000 0.0000 0.5000
0.0000 0.5000 0.0000
0.5000 0.0000 0.0000
0.5000 0.5000 0.5000
0.0000 0.0000 0.0000
```

E (eV per atom): -8.4620
Space-group type: Pm-3m
ΔE_f (raw) (meV/atom): 0
Energy above the most stable polymorph in this dataset (kJ/mol of formula units): 101



Here is a relaxed Nb4Si2B crystal from the Alexandria database. Energies are from PBE.

Cell and atoms, written as POSCAR:
```
Nb4Si2B
1.0
-2.0780 2.0780 6.8222
2.0780 -2.0780 6.8222
2.0780 2.0780 -6.8222
Nb Si B
4 2 1
direct
0.0000 0.5000 0.5000
0.1691 0.1691 0.0000
0.5000 0.0000 0.5000
0.8309 0.8309 0.0000
0.3595 0.3595 0.0000
0.6405 0.6405 0.0000
0.0000 0.0000 0.0000
```

E (eV per atom): -8.3623
Space-group type: I4/mmm
ΔE_f (raw) (meV/atom): -105



Here is a relaxed NbSiB2 crystal from the Alexandria database. Energies are from PBE.

Cell and atoms, written as POSCAR:
```
NbSiB2
1.0
-2.8623 2.8623 2.8649
2.8623 -2.8623 2.8649
2.8623 2.8623 -2.8649
Nb Si B
2 2 4
direct
0.0000 0.0000 0.0000
0.7500 0.2500 0.5000
0.2500 0.7500 0.5000
0.5000 0.5000 0.0000
0.1679 0.6250 0.0429
0.3750 0.4179 0.5429
0.5821 0.1250 0.9571
0.8750 0.8321 0.4571
```

E (eV per atom): -6.9425
Space-group type: I-42d
ΔE_f (raw) (meV/atom): 269



Here is a relaxed Nb2SiTcB crystal from the Alexandria database. Energies are from PBE.

Cell and atoms, written as POSCAR:
```
Nb2SiTcB
1.0
4.4349 0.0000 0.0000
0.0000 4.4349 0.0000
0.0000 0.0000 3.7037
Nb Si Tc B
2 1 1 1
direct
0.0000 0.5000 0.0000
0.5000 0.0000 0.0000
0.0000 0.0000 0.5000
0.5000 0.5000 0.5000
0.0000 0.0000 0.0000
```

E (eV per atom): -8.4449
Space-group type: P4/mmm
ΔE_f (raw) (meV/atom): 76



Here is a relaxed TiNbSiB2 crystal from the Alexandria database. Energies are from PBE.

Cell and atoms, written as POSCAR:
```
TiNbSiB2
1.0
4.0813 0.0000 0.0000
0.0000 4.0813 0.0000
0.0000 0.0000 4.9345
Ti Nb Si B
1 1 1 2
direct
0.0000 0.0000 0.0000
0.0000 0.0000 0.5000
0.5000 0.5000 0.5000
0.0000 0.5000 0.0000
0.5000 0.0000 0.0000
```

E (eV per atom): -5.8539
Space-group type: P4/mmm
ΔE_f (raw) (meV/atom): 1495



Here is a relaxed Nb2ZnSiB crystal from the Alexandria database. Energies are from PBE.

Cell and atoms, written as POSCAR:
```
Nb2ZnSiB
1.0
4.8281 0.0000 0.0000
0.0000 4.8281 0.0000
0.0000 0.0000 3.5877
Nb Zn Si B
2 1 1 1
direct
0.0000 0.5000 0.0000
0.5000 0.0000 0.0000
0.0000 0.0000 0.0000
0.5000 0.5000 0.5000
0.0000 0.0000 0.5000
```

E (eV per atom): -5.6341
Space-group type: P4/mmm
ΔE_f (raw) (meV/atom): 1069



Here is a relaxed SmNbB crystal from the Alexandria database. Energies are from PBE.

Cell and atoms, written as POSCAR:
```
SmNbB
1.0
1.8306 1.0569 10.5980
-1.8306 1.0569 10.5980
0.0000 -2.1138 10.5980
Sm Nb B
2 2 2
direct
0.1090 0.1090 0.1090
0.8910 0.8910 0.8910
0.3630 0.3630 0.3630
0.6370 0.6370 0.6370
0.2764 0.2764 0.2764
0.7236 0.7236 0.7236
```

Energy of formation from the pure elements (eV/atom): -0.096
E (eV per atom): -7.2519
Space-group type: R-3m



Here is a relaxed SmNbB4 crystal from the Alexandria database. Energies are from PBE.

Cell and atoms, written as POSCAR:
```
SmNbB4
1.0
6.2078 0.0000 0.0000
0.0000 12.0115 0.0000
0.0000 0.0000 3.6758
Sm Nb B
4 4 16
direct
0.1261 0.1511 0.0000
0.3739 0.6511 0.0000
0.6261 0.3489 0.0000
0.8739 0.8489 0.0000
0.1327 0.4141 0.0000
0.3673 0.9141 0.0000
0.6327 0.0859 0.0000
0.8673 0.5859 0.0000
0.0242 0.6930 0.5000
0.1149 0.5475 0.5000
0.1331 0.9684 0.5000
0.2085 0.8121 0.5000
0.2915 0.3121 0.5000
0.3669 0.4684 0.5000
0.3851 0.0475 0.5000
0.4758 0.1930 0.5000
0.5242 0.8070 0.5000
0.6149 0.9525 0.5000
0.6331 0.5316 0.5000
0.7085 0.6879 0.5000
0.7915 0.1879 0.5000
0.8669 0.0316 0.5000
0.8851 0.4525 0.5000
0.9758 0.3070 0.5000
```

Energy of formation from the pure elements (eV/atom): -0.568
E (eV per atom): -7.4840
Space-group type: Pbam



Here is a relaxed Nb4Sn2B crystal from the Alexandria database. Energies are from PBE.

Cell and atoms, written as POSCAR:
```
Nb4Sn2B
1.0
-2.1700 2.1700 7.2081
2.1700 -2.1700 7.2081
2.1700 2.1700 -7.2081
Nb Sn B
4 2 1
direct
0.0000 0.5000 0.5000
0.1528 0.1528 0.0000
0.5000 0.0000 0.5000
0.8472 0.8472 0.0000
0.3533 0.3533 0.0000
0.6467 0.6467 0.0000
0.0000 0.0000 0.0000
```

Energy of formation from the pure elements (eV/atom): -0.056
E (eV per atom): -7.9078
Space-group type: I4/mmm



Here is a relaxed NbSn3B crystal from the Alexandria database. Energies are from PBE.

Cell and atoms, written as POSCAR:
```
NbSn3B
1.0
5.3715 0.0000 0.0000
0.0000 5.3715 0.0000
0.0000 0.0000 5.3715
Nb Sn B
1 3 1
direct
0.0000 0.0000 0.0000
0.0000 0.0000 0.5000
0.0000 0.5000 0.0000
0.5000 0.0000 0.0000
0.5000 0.5000 0.5000
```

Energy of formation from the pure elements (eV/atom): 1.261
E (eV per atom): -4.4897
Space-group type: Pm-3m
Energy above the most stable polymorph in this dataset (kJ/mol of formula units): 148



Here is a relaxed NbSnB3 crystal from the Alexandria database. Energies are from PBE.

Cell and atoms, written as POSCAR:
```
NbSnB3
1.0
4.3728 0.0000 0.0000
0.0000 4.3728 0.0000
0.0000 0.0000 4.3728
Nb Sn B
1 1 3
direct
0.0000 0.0000 0.0000
0.5000 0.5000 0.5000
0.0000 0.0000 0.5000
0.0000 0.5000 0.0000
0.5000 0.0000 0.0000
```

Energy of formation from the pure elements (eV/atom): 1.294
E (eV per atom): -5.5271
Space-group type: Pm-3m
Energy above the most stable polymorph in this dataset (kJ/mol of formula units): 0



Here is a relaxed NbSn3B crystal from the Alexandria database. Energies are from PBE.

Cell and atoms, written as POSCAR:
```
NbSn3B
1.0
4.7773 0.0000 0.0000
0.0000 4.7773 0.0000
0.0000 0.0000 4.7773
Nb Sn B
1 3 1
direct
0.0000 0.0000 0.0000
0.0000 0.5000 0.5000
0.5000 0.0000 0.5000
0.5000 0.5000 0.0000
0.5000 0.5000 0.5000
```

Energy of formation from the pure elements (eV/atom): 0.955
E (eV per atom): -4.7963
Space-group type: Pm-3m
Energy above the most stable polymorph in this dataset (kJ/mol of formula units): 0